(1)
Computed, not measured: a geometry-optimized TaTeBr2 structure at the PBE level of DFT.

Properties
DOS(E_F) (states/eV/f.u.): 3.12
Formation energy from raw total energies (eV per atom): -0.229
Space-group type: Cm (8)
Calculated volume (Å³ per cell): 203
Relative energy among the computed polymorphs (meV per atom): 211

CIF file:
```
data_TaTeBr2
_chemical_formula_sum 'Ta2 Te2 Br4'
_cell_length_a 6.245
_cell_length_b 3.606
_cell_length_c 9.230
_cell_angle_alpha 90.00
_cell_angle_beta 102.96
_cell_angle_gamma 90.00
_space_group_name_H-M_alt 'P 1'
_space_group_IT_number 1
loop_
_space_group_symop_operation_xyz
'x,y,z'
loop_
_atom_site_label
_atom_site_fract_x
_atom_site_fract_y
_atom_site_fract_z
_atom_site_occupancy
Ta1 0.000 0.000 0.000 1
Ta2 0.500 0.500 0.000 1
Te1 0.235 0.500 0.208 1
Te2 0.735 0.000 0.208 1
Br1 0.269 0.000 0.807 1
Br2 0.492 0.000 0.479 1
Br3 0.769 0.500 0.807 1
Br4 0.992 0.500 0.479 1
```


(2)
Computed, not measured: a geometry-optimized SrAl2InFe structure at the PBE level of DFT.

Properties
DOS(E_F) (states/eV/f.u.): 7.02
Space-group type: P4/mmm (123)
E_form (eV/atom): 1.665
Calculated volume (Å³ per cell): 157
Relative energy among the computed polymorphs (meV per atom): 1846

CIF file:
```
data_SrAl2InFe
_chemical_formula_sum 'Sr1 Al2 In1 Fe1'
_cell_length_a 5.777
_cell_length_b 5.777
_cell_length_c 4.701
_cell_angle_alpha 90.00
_cell_angle_beta 90.00
_cell_angle_gamma 90.00
_space_group_name_H-M_alt 'P 1'
_space_group_IT_number 1
loop_
_space_group_symop_operation_xyz
'x,y,z'
loop_
_atom_site_label
_atom_site_fract_x
_atom_site_fract_y
_atom_site_fract_z
_atom_site_occupancy
Sr1 0.000 0.000 0.000 1
Al1 0.000 0.500 0.000 1
Al2 0.500 0.000 0.000 1
In1 0.500 0.500 0.500 1
Fe1 0.000 0.000 0.500 1
```


(3)
Computed, not measured: a geometry-optimized Ca2ZnCd6Cu structure at the PBE level of DFT.

Properties
DOS(E_F) (states/eV/f.u.): 4.53
Space-group type: R-3m (166)
E_form (eV/atom): -0.119
Calculated volume (Å³ per cell): 489

CIF file:
```
data_Ca2ZnCd6Cu
_chemical_formula_sum 'Ca4 Zn2 Cd12 Cu2'
_cell_length_a 12.188
_cell_length_b 12.188
_cell_length_c 12.188
_cell_angle_alpha 33.41
_cell_angle_beta 33.41
_cell_angle_gamma 33.41
_space_group_name_H-M_alt 'P 1'
_space_group_IT_number 1
loop_
_space_group_symop_operation_xyz
'x,y,z'
loop_
_atom_site_label
_atom_site_fract_x
_atom_site_fract_y
_atom_site_fract_z
_atom_site_occupancy
Ca1 0.111 0.111 0.111 1
Ca2 0.284 0.284 0.284 1
Ca3 0.716 0.716 0.716 1
Ca4 0.889 0.889 0.889 1
Zn1 0.428 0.428 0.428 1
Zn2 0.572 0.572 0.572 1
Cd1 0.076 0.663 0.663 1
Cd2 0.221 0.221 0.664 1
Cd3 0.221 0.664 0.221 1
Cd4 0.336 0.779 0.779 1
Cd5 0.337 0.337 0.924 1
Cd6 0.337 0.924 0.337 1
Cd7 0.663 0.076 0.663 1
Cd8 0.663 0.663 0.076 1
Cd9 0.664 0.221 0.221 1
Cd10 0.779 0.336 0.779 1
Cd11 0.779 0.779 0.336 1
Cd12 0.924 0.337 0.337 1
Cu1 0.000 0.000 0.000 1
Cu2 0.500 0.500 0.500 1
```


- Which of these has the lowest calculated volume?
  SrAl2InFe


- Among the records above, which one has the highest DOS(E_F)?
  SrAl2InFe


- DOS(E_F) of number 1 (TaTeBr2)?
  3.12 states/eV/f.u.